# La2MgSnOs (PBE, optimized geometry)
data_La2MgSnOs
_chemical_formula_sum 'La2 Mg1 Sn1 Os1'
_symmetry_space_group_name_H-M 'P 4/m m m'
_symmetry_Int_Tables_number 123
_symmetry_space_group_name_Hall '-P 4 2'
_cell_length_a 5.428
_cell_length_b 5.428
_cell_length_c 5.136
_cell_angle_alpha 90.00
_cell_angle_beta 90.00
_cell_angle_gamma 90.00
loop_
_atom_site_label
_atom_site_fract_x
_atom_site_fract_y
_atom_site_fract_z
La1 0.000 0.500 0.000
Mg1 0.000 0.000 0.500
Sn1 0.500 0.500 0.500
Os1 0.000 0.000 0.000
# **Formation energy**: -0.20 eV per atom
# **Calculated total energy**: -5.5358 eV per atom
# **Calculated density**: 6706 kg/m3